Dy5Tm3Sc2 | PBE-GGA | optimized geometry

Values from the calculation:
- Fermi-level density of states: 29.1 states/eV per cell
- Symmetry: P-1 (2)
- Formation energy: 38.8 meV per atom

Lattice parameters (Å, degrees): 9.1761 9.1718 9.1783 106.68 106.60 115.29
Sites, in units of the cell vectors:
1 Tm 0.7275 0.1756 0.6506
2 Dy 0.9271 0.7751 0.4527
3 Sc 0.0237 0.0737 0.8519
4 Dy 0.8241 0.4765 0.0511
5 Dy 0.5747 0.7273 0.5517
6 Dy 0.3729 0.1223 0.7505
7 Dy 0.1218 0.3721 0.2497
8 Sc 0.2238 0.6734 0.6496
9 Tm 0.3228 0.9744 0.0474
10 Dy 0.8782 0.6279 0.7503
11 Tm 0.6772 0.0256 0.9526
12 Tm 0.5261 0.5781 0.8500
13 Dy 0.0729 0.2250 0.5473
14 Dy 0.6271 0.8777 0.2495
15 Tm 0.2725 0.8244 0.3494
16 Tm 0.4739 0.4219 0.1500
17 Dy 0.4253 0.2727 0.4483
18 Sc 0.9763 0.9263 0.1481
19 Sc 0.7762 0.3266 0.3504
20 Dy 0.1759 0.5235 0.9489

=====

CaFeC3 | PBE-GGA | optimized geometry

Values from the calculation:
- Fermi-level density of states: 2.6 states/eV per cell
- Symmetry: Pm-3m (221)
- ΔE to the lowest computed polymorph: 0.000 eV/atom
- Formation energy: 1277.4 meV per atom

Lattice parameters (Å, degrees): 3.8403 3.8403 3.8403 90.00 90.00 90.00
Each line ends with the local moment (μB).
Sites, in units of the cell vectors:
1 C 0.5000 0.0000 0.0000  0.00
2 Ca 0.5000 0.5000 0.5000  0.04
3 Fe 0.0000 0.0000 0.0000  1.33
4 C 0.0000 0.0000 0.5000  0.18
5 C 0.0000 0.5000 0.0000  0.10

=====

Zr2AlCCl | PBE-GGA | optimized geometry

Values from the calculation:
- Fermi-level density of states: 6.0 states/eV per cell
- Symmetry: P4/mmm (123)
- Formation energy without anion corrections: 1.400 eV/atom

Lattice parameters (Å, degrees): 4.7491 4.3564 4.7491 90.00 90.00 90.00
Sites, in units of the cell vectors:
1 C 0.5000 0.5000 0.5000
2 Al 0.0000 0.5000 0.0000
3 Zr 0.0000 0.0000 0.5000
4 Zr 0.5000 0.0000 0.0000
5 Cl 0.0000 0.0000 0.0000

=====

YAlV2Cd | PBE-GGA | optimized geometry

Values from the calculation:
- Fermi-level density of states: 6.2 states/eV per cell
- Symmetry: P4/mmm (123)
- Formation energy: 1644.7 meV per atom

Lattice parameters (Å, degrees): 4.8372 5.3689 4.8372 90.00 90.00 90.00
Each line ends with the local moment (μB).
Sites, in units of the cell vectors:
1 V 0.0000 0.0000 0.5000  1.49
2 Cd 0.5000 0.5000 0.5000  -0.01
3 Y 0.0000 0.0000 0.0000  0.03
4 Al 0.0000 0.5000 0.0000  -0.03
5 V 0.5000 0.0000 0.0000  1.93